CsTlF3 after structural relaxation, computed with PBE.

The calculation puts the final energy at -3.7218 eV/atom. For the formation energy without anion corrections, the calculation gives -1.95 eV per atom. The volume is 197 Å³ per cell.

The space group is P6_3/mmc (No. 194) and the conventional cell measures 4.7083, 4.7083 and 10.2386 Å, with angles of 90.00, 90.00 and 120.00 degrees. The inequivalent atoms are Cs at (0.3333, 0.6667, 0.2500), Tl at (0.0000, 0.0000, 0.0000), F at (0.0000, 0.0000, 0.2500) and F at (0.3333, 0.6667, 0.5481).

YUPt4 after structural relaxation, computed with PBE.

The calculation puts the final energy at -7.8274 eV/atom. As for the formation enthalpy at 0 K: -842 meV/atom. The volume is 455 Å³ per cell.

The space group is F-43m (No. 216) and the conventional cell measures 7.693, 7.693 and 7.693 Å, with angles of 90.00, 90.00 and 90.00 degrees. The inequivalent atoms are Y at (0.000, 0.000, 0.000), U at (0.250, 0.250, 0.250) and Pt at (0.125, 0.125, 0.625).

BeBO2F after structural relaxation, computed with PBE.

The calculation puts the final energy at -5.3553 eV/atom. For the formation energy without anion corrections, the calculation gives -0.92 eV per atom. The volume is 35 Å³ per cell.

The space group is P4/mmm (No. 123) and the conventional cell measures 3.366, 3.366 and 3.128 Å, with angles of 90.00, 90.00 and 90.00 degrees. The inequivalent atoms are Be at (0.000, 0.000, 0.000), B at (0.500, 0.500, 0.500), O at (0.000, 0.500, 0.500) and F at (0.500, 0.500, 0.000).

BaNaCaHg after structural relaxation, computed with PBE.

The calculation puts the final energy at -1.6528 eV/atom. As for the formation enthalpy at 0 K: -266 meV/atom. The volume is 151 Å³ per cell.

The space group is P4mm (No. 99) and the conventional cell measures 4.024, 4.024 and 9.322 Å, with angles of 90.00, 90.00 and 90.00 degrees. The inequivalent atoms are Ba at (0.000, 0.000, 0.000), Na at (0.500, 0.500, 0.321), Ca at (0.000, 0.000, 0.589) and Hg at (0.500, 0.500, 0.762).

CeErThTl after structural relaxation, computed with PBE.

The calculation puts the final energy at -5.0163 eV/atom. As for the formation enthalpy at 0 K: 54 meV/atom. The volume is 461 Å³ per cell.

The space group is F-43m (No. 216) and the conventional cell measures 7.725, 7.725 and 7.725 Å, with angles of 90.00, 90.00 and 90.00 degrees. The inequivalent atoms are Ce at (0.000, 0.000, 0.000), Er at (0.000, 0.000, 0.500), Th at (0.250, 0.250, 0.750) and Tl at (0.250, 0.250, 0.250).

Fe2P after structural relaxation, computed with PBE.

The calculation puts the final energy at -7.6750 eV/atom. As for the formation enthalpy at 0 K: -230 meV/atom. The volume is 144 Å³ per cell.

The space group is Cmcm (No. 63) and the conventional cell measures 6.775, 5.269 and 4.029 Å, with angles of 90.00, 90.00 and 90.00 degrees. The inequivalent atoms are Fe at (0.178, 0.144, 0.250) and P at (0.000, 0.248, 0.750).

RbTiAs2O8 after structural relaxation, computed with PBE.

The calculation puts the final energy at -6.4085 eV/atom. For the formation energy without anion corrections, the calculation gives -1.59 eV per atom. The volume is 615 Å³ per cell.

The space group is R32 (No. 155, hexagonal axes) and the conventional cell measures 5.0342, 5.0342 and 28.0238 Å, with angles of 90.00, 90.00 and 120.00 degrees. The inequivalent atoms are Rb at (0.0000, 0.0000, 0.0000), Ti at (0.0000, 0.0000, 0.5000), As at (0.0000, 0.0000, 0.2331), O at (0.0000, 0.0000, 0.2929) and O at (0.0113, 0.3853, 0.1223).

ErIn9Ir2 after structural relaxation, computed with PBE.

The calculation puts the final energy at -3.9208 eV/atom. As for the formation enthalpy at 0 K: -10 meV/atom. The volume is 1105 Å³ per cell.

The space group is I4_1/amd (No. 141, origin choice 2) and the conventional cell measures 12.410, 12.410 and 7.178 Å, with angles of 90.00, 90.00 and 90.00 degrees. The inequivalent atoms are Er at (0.000, 0.250, 0.375), In at (0.000, 0.250, 0.875), In at (0.120, 0.070, 0.666) and Ir at (0.000, 0.000, 0.000).

| no. | DOS at the Fermi energy (states/eV/f.u.) |
| --- | --- |
| 1 | 3.21 |
| 2 | 8.76 |
| 3 | 0.12 |
| 4 | 2.90 |
| 5 | 6.89 |
| 6 | 2.64 |
| 7 | 6.24 |
| 8 | 6.20 |